1.
A plane-wave DFT calculation with PBE was carried out for a geometry-optimized CsAgSeO4 structure.

## Properties
The calculation puts the uncorrected formation energy at -0.899 eV/atom. The value obtained for the volume is 170.5 Å³/f.u. The value obtained for the energy is -66.6 eV per cell. For the density of states at the Fermi level, the calculation gives 0.00 states/eV per cell.

a b c (Å): 6.402 6.402 8.318
angles (deg): 90.00 90.00 90.00
Space group I-4 (No. 82)
Asymmetric unit:
Cs (0.000, 0.000, 0.000)
Ag (0.000, 0.000, 0.500)
Se (0.000, 0.500, 0.250)
O (0.102, 0.693, 0.363)

2.
A plane-wave DFT calculation with PBE was carried out for a geometry-optimized CaY2Ga structure.

## Properties
Its formation energy is -61 meV per atom. The value obtained for the volume is 126.7 Å³/f.u. The value obtained for the energy is -54.6 eV per cell. For the density of states at the Fermi level, the calculation gives 16.73 states/eV per cell.

a b c (Å): 3.6314 3.6314 33.2944
angles (deg): 90.00 90.00 120.00
Space group R-3m (No. 166, hexagonal axes)
Asymmetric unit:
Ca (0.0000, 0.0000, 0.0000)
Y (0.0000, 0.0000, 0.1034)
Ga (0.0000, 0.0000, 0.5000)

3.
A plane-wave DFT calculation with PBE was carried out for a geometry-optimized NaCa3Pt structure.

## Properties
Its formation energy is -447 meV per atom. The value obtained for the energy relative to the lowest polymorph listed for this composition is 0.021 eV per atom. The value obtained for the volume is 166.1 Å³/f.u. The value obtained for the energy is -31.2 eV per cell. For the density of states at the Fermi level, the calculation gives 6.22 states/eV per cell.

a b c (Å): 3.950 9.513 9.526
angles (deg): 111.86 90.06 90.04
Space group P-1 (No. 2)
Asymmetric unit:
Na (0.001, 0.291, 0.210)
Ca (0.000, 0.000, 0.500)
Ca (0.500, 0.089, 0.844)
Ca (0.500, 0.345, 0.589)
Ca (0.500, 0.500, 0.000)
Pt (0.000, 0.279, 0.778)

4.
A plane-wave DFT calculation with PBE was carried out for a geometry-optimized Be2BPd2 structure.

## Properties
Its formation energy is -81 meV per atom. The value obtained for the volume is 57.9 Å³/f.u. The value obtained for the energy is -49.8 eV per cell. For the density of states at the Fermi level, the calculation gives 3.38 states/eV per cell.

a b c (Å): 5.694 5.694 3.574
angles (deg): 90.00 90.00 90.00
Space group P4/mbm (No. 127)
Asymmetric unit:
Be (0.140, 0.360, 0.000)
B (0.000, 0.000, 0.500)
Pd (0.170, 0.670, 0.500)

Which formula does entry 3 have? NaCa3Pt